## TaWS2N (GGA-PBE)

Data for a relaxed TaWS2N crystal.

Computed properties:
Theoretical density   8.03 Mg/m³
Energy relative to the lowest polymorph listed for this composition   130.6 meV/atom
Spin magnetization   3.6 μB/f.u.
Formation energy from raw total energies   3.57 eV per formula unit

Lattice parameters (Å, degrees): 4.875 4.875 3.854 90.00 90.00 90.00
Positions (direct):
Ta 0.000 0.000 0.000
W 0.500 0.500 0.500
S 0.000 0.500 0.000
S 0.500 0.000 0.000
N 0.000 0.000 0.500


## Pm3NdPd2 (GGA-PBE)

Data for a relaxed Pm3NdPd2 crystal.

Computed properties:
Theoretical density   7.65 Mg/m³
Energy relative to the lowest polymorph listed for this composition   0.0 meV/atom
Spin magnetization   0.4 μB/f.u.

Lattice parameters (Å, degrees): 7.354 7.354 7.993 105.74 105.74 56.74
Positions (direct):
Pm 0.248 0.752 0.750
Pm 0.285 0.286 0.393
Pm 0.286 0.285 0.893
Pm 0.714 0.715 0.107
Pm 0.715 0.714 0.607
Pm 0.752 0.248 0.250
Nd 0.253 0.747 0.250
Nd 0.747 0.253 0.750
Pd 0.120 0.120 0.060
Pd 0.120 0.120 0.560
Pd 0.880 0.880 0.440
Pd 0.880 0.880 0.940


## Gd2CoSi2 (GGA-PBE)

Data for a relaxed Gd2CoSi2 crystal.

Computed properties:
Theoretical density   7.40 Mg/m³
Spin magnetization   0.5 μB/f.u.
Formation energy from raw total energies   -3.70 eV per formula unit

Lattice parameters (Å, degrees): 5.691 5.691 10.067 117.22 117.22 42.78
Positions (direct):
Gd 0.002 0.002 0.172
Gd 0.187 0.187 0.603
Gd 0.813 0.813 0.397
Gd 0.998 0.998 0.828
Co 0.273 0.273 0.118
Co 0.727 0.727 0.882
Si 0.345 0.345 0.933
Si 0.499 0.499 0.370
Si 0.501 0.501 0.630
Si 0.655 0.655 0.067


## V2NiSb (GGA-PBE)

Data for a relaxed V2NiSb crystal.

Computed properties:
Theoretical density   7.44 Mg/m³
Energy relative to the lowest polymorph listed for this composition   404.5 meV/atom
Spin magnetization   0.0 μB/f.u.
Formation energy from raw total energies   1.12 eV per formula unit

Lattice parameters (Å, degrees): 6.970 6.970 5.190 90.00 90.00 90.00
Positions (direct):
V 0.219 0.250 0.125
V 0.250 0.719 0.375
V 0.250 0.781 0.875
V 0.281 0.250 0.625
V 0.719 0.750 0.625
V 0.750 0.219 0.875
V 0.750 0.281 0.375
V 0.781 0.750 0.125
Ni 0.000 0.000 0.000
Ni 0.000 0.500 0.250
Ni 0.500 0.000 0.750
Ni 0.500 0.500 0.500
Sb 0.000 0.000 0.500
Sb 0.000 0.500 0.750
Sb 0.500 0.000 0.250
Sb 0.500 0.500 0.000


## K2ReBr (GGA-PBE)

Data for a relaxed K2ReBr crystal.

Computed properties:
Theoretical density   3.49 Mg/m³
Energy relative to the lowest polymorph listed for this composition   966.2 meV/atom
Spin magnetization   4.0 μB/f.u.
Formation energy from raw total energies   3.16 eV per formula unit

Lattice parameters (Å, degrees): 4.829 4.829 7.030 90.00 90.00 90.00
Positions (direct):
K 0.000 0.000 0.000
K 0.500 0.500 0.496
Re 0.000 0.000 0.501
Br 0.500 0.500 0.998


## Ca2Co (GGA-PBE)

Data for a relaxed Ca2Co crystal.

Computed properties:
Theoretical density   2.68 Mg/m³
Final energy   -15.0 eV for the cell shown
Spin magnetization   0.7 μB/f.u.

Lattice parameters (Å, degrees): 6.250 6.250 6.250 60.00 60.00 60.00
Positions (direct):
Ca 0.000 0.000 0.000
Ca 0.000 0.000 0.500
Ca 0.000 0.500 0.000
Ca 0.500 0.000 0.000
Co 0.375 0.375 0.375
Co 0.625 0.625 0.625


## CsPPbS2 (GGA-PBE)

Data for a relaxed CsPPbS2 crystal.

Computed properties:
Theoretical density   4.45 Mg/m³
Energy relative to the lowest polymorph listed for this composition   1010.7 meV/atom
Spin magnetization   0.6 μB/f.u.
Formation energy from raw total energies   5.88 eV per formula unit

Lattice parameters (Å, degrees): 5.355 5.355 5.666 90.00 90.00 90.00
Positions (direct):
Cs 0.000 0.000 0.000
P 0.000 0.000 0.500
Pb 0.500 0.500 0.500
S 0.000 0.500 0.000
S 0.500 0.000 0.000


## K4HfTh3Te8 (GGA-PBE)

Data for a relaxed K4HfTh3Te8 crystal.

Computed properties:
Theoretical density   6.00 Mg/m³
Spin magnetization   0.0 μB/f.u.
Formation energy from raw total energies   -17.40 eV per formula unit

Lattice parameters (Å, degrees): 9.912 9.912 9.912 52.52 52.52 52.52
Positions (direct):
K 0.000 0.000 0.000
K 0.000 0.500 0.500
K 0.500 0.000 0.500
K 0.500 0.500 0.000
Hf 0.500 0.500 0.500
Th 0.000 0.000 0.500
Th 0.000 0.500 0.000
Th 0.500 0.000 0.000
Te 0.242 0.242 0.242
Te 0.257 0.728 0.728
Te 0.272 0.272 0.743
Te 0.272 0.743 0.272
Te 0.728 0.257 0.728
Te 0.728 0.728 0.257
Te 0.743 0.272 0.272
Te 0.758 0.758 0.758


## Zn3Re5 (GGA-PBE)

Data for a relaxed Zn3Re5 crystal.

Computed properties:
Theoretical density   16.01 Mg/m³
Energy relative to the lowest polymorph listed for this composition   239.1 meV/atom
Spin magnetization   0.0 μB/f.u.

Lattice parameters (Å, degrees): 7.387 7.387 4.949 90.00 90.00 120.00
Positions (direct):
Zn 0.000 0.404 0.250
Zn 0.000 0.596 0.750
Zn 0.404 0.000 0.250
Zn 0.404 0.404 0.750
Zn 0.596 0.000 0.750
Zn 0.596 0.596 0.250
Re 0.000 0.217 0.750
Re 0.000 0.783 0.250
Re 0.217 0.000 0.750
Re 0.217 0.217 0.250
Re 0.333 0.667 0.000
Re 0.333 0.667 0.500
Re 0.667 0.333 0.000
Re 0.667 0.333 0.500
Re 0.783 0.000 0.250
Re 0.783 0.783 0.750


## PrTh2RhN4 (GGA-PBE)

Data for a relaxed PrTh2RhN4 crystal.

Computed properties:
Theoretical density   9.80 Mg/m³
Spin magnetization   0.0 μB/f.u.
Formation energy from raw total energies   -8.76 eV per formula unit

Lattice parameters (Å, degrees): 6.338 6.338 12.083 90.00 90.00 147.77
Positions (direct):
Pr 0.111 0.889 0.750
Pr 0.889 0.111 0.250
Th 0.370 0.630 0.556
Th 0.370 0.630 0.944
Th 0.630 0.370 0.056
Th 0.630 0.370 0.444
Rh 0.150 0.850 0.250
Rh 0.850 0.150 0.750
N 0.000 0.000 0.000
N 0.000 0.000 0.500
N 0.274 0.726 0.118
N 0.274 0.726 0.382
N 0.457 0.543 0.750
N 0.543 0.457 0.250
N 0.726 0.274 0.618
N 0.726 0.274 0.882


## EuErAg2 (GGA-PBE)

Data for a relaxed EuErAg2 crystal.

Computed properties:
Theoretical density   8.70 Mg/m³
Final energy   -21.8 eV for the cell shown
Spin magnetization   7.3 μB/f.u.

Lattice parameters (Å, degrees): 3.692 3.692 7.492 90.00 90.00 90.00
Positions (direct):
Eu 0.000 0.000 0.000
Er 0.000 0.000 0.500
Ag 0.500 0.500 0.283
Ag 0.500 0.500 0.717


## ZrZn3Pt (GGA-PBE)

Data for a relaxed ZrZn3Pt crystal.

Computed properties:
Theoretical density   9.89 Mg/m³
Energy relative to the lowest polymorph listed for this composition   0.0 meV/atom
Spin magnetization   0.0 μB/f.u.

Lattice parameters (Å, degrees): 5.943 4.144 6.837 90.00 105.82 90.00
Positions (direct):
Zr 0.177 0.250 0.222
Zr 0.823 0.750 0.778
Zn 0.149 0.250 0.795
Zn 0.353 0.750 0.971
Zn 0.484 0.250 0.635
Zn 0.516 0.750 0.365
Zn 0.647 0.250 0.029
Zn 0.851 0.750 0.205
Pt 0.185 0.750 0.550
Pt 0.815 0.250 0.450